{
  "formula": "ScZn2Ni9",
  "functional": "PBE-GGA",
  "state": "relaxed",
  "magmom_total_mub_per_cell": 3.1,
  "relative_energy_mev_per_atom": 42,
  "e_form_ev_per_atom": -0.16,
  "cell": [[2.3681, 1.3672, 7.7721], [-2.3681, 1.3672, 7.7721], [0.0000, -2.7344, 7.7721]],
  "species": ["Sc", "Zn", "Zn", "Ni", "Ni", "Ni", "Ni", "Ni", "Ni", "Ni", "Ni", "Ni"],
  "fractional_positions": [[0.0000, 0.0000, 0.0000], [0.1437, 0.1437, 0.1437], [0.8563, 0.8563, 0.8563], [0.0811, 0.5873, 0.5873], [0.3341, 0.3341, 0.3341], [0.4127, 0.4127, 0.9189], [0.4127, 0.9189, 0.4127], [0.5000, 0.5000, 0.5000], [0.5873, 0.0811, 0.5873], [0.5873, 0.5873, 0.0811], [0.6659, 0.6659, 0.6659], [0.9189, 0.4127, 0.4127]]
}